# Li2MnF5

Crystalline Li2MnF5 at its relaxed geometry (PBE+U, Alexandria).

Geometry as POSCAR:
```
Li2MnF5
1.0
2.054 -4.969 0.000
2.054 4.969 0.000
0.000 0.000 9.729
Li Mn F
4 2 10
Direct
0.125 0.875 0.420 Li
0.125 0.875 0.080 Li
0.875 0.125 0.580 Li
0.875 0.125 0.920 Li
0.203 0.797 0.750 Mn
0.797 0.203 0.250 Mn
0.068 0.932 0.615 F
0.068 0.932 0.885 F
0.670 0.330 0.398 F
0.670 0.330 0.102 F
0.245 0.755 0.250 F
0.755 0.245 0.750 F
0.330 0.670 0.898 F
0.330 0.670 0.602 F
0.932 0.068 0.115 F
0.932 0.068 0.385 F
```

Summary:
- total magnetic moment (μB/atom) = 0.500
- relative energy among the computed polymorphs (eV/atom) = 0.014